1.
First-principles (GGA-PBE) data for a relaxed structure of MnTc2Br, as listed in Alexandria via LeMat-Bulk.

Properties
- E_form (uncorrected): 0.38 eV per atom
- SG: No. 99

a b c (Å): 3.0385 3.0385 7.3123
angles (deg): 90.00 90.00 90.00
Last column: nearest neighbours and their distance in Å.
Positions (direct):
Br (0.0000, 0.0000, 0.5044)  4 Mn 2.89, 4 Br 3.04, 4 Tc 3.05
Mn (0.5000, 0.5000, 0.7696)  4 Tc 2.81, 4 Br 2.89, 4 Mn 3.04
Tc (0.0000, 0.0000, 0.0169)  4 Tc 2.57, 4 Mn 2.81
Tc (0.5000, 0.5000, 0.2091)  4 Tc 2.57



2.
First-principles (GGA-PBE) data for a relaxed structure of Ti5Al2Fe2Ni, as listed in Alexandria via LeMat-Bulk.

Properties
- Energy relative to the elements: -0.2736 eV/atom
- SG: No. 127

a b c (Å): 2.9417 10.1385 10.1385
angles (deg): 90.00 90.00 90.00
Last column: nearest neighbours and their distance in Å.
Positions (direct):
Ti (0.5000, 0.1976, 0.0681)  2 Fe 2.35, 2 Ni 2.58
Ti (0.5000, 0.8024, 0.9319)  2 Fe 2.35, 2 Ni 2.58
Ti (0.5000, 0.0681, 0.8024)  2 Fe 2.35, 2 Ni 2.58
Ti (0.5000, 0.6976, 0.4319)  2 Fe 2.35, 2 Ni 2.58
Ti (0.5000, 0.9319, 0.1976)  2 Fe 2.35, 2 Ni 2.58
Ti (0.5000, 0.3024, 0.5681)  2 Fe 2.35, 2 Ni 2.58
Ti (0.5000, 0.5681, 0.6976)  2 Fe 2.35, 2 Ni 2.58
Ti (0.5000, 0.4319, 0.3024)  2 Fe 2.35, 2 Ni 2.58
Ti (0.5000, 0.5000, 0.0000)  4 Fe 2.41
Ti (0.5000, 0.0000, 0.5000)  4 Fe 2.41
Al (0.0000, 0.6740, 0.1740)  1 Fe 2.76, 6 Ti 2.90-3.01, 2 Al 2.94
Al (0.0000, 0.3260, 0.8260)  1 Fe 2.76, 6 Ti 2.90-3.01, 2 Al 2.94
Al (0.0000, 0.1740, 0.3260)  1 Fe 2.76, 6 Ti 2.90-3.01, 2 Al 2.94
Al (0.0000, 0.8260, 0.6740)  1 Fe 2.76, 6 Ti 2.90-3.01, 2 Al 2.94
Fe (0.0000, 0.1335, 0.6335)  6 Ti 2.35-2.41
Fe (0.0000, 0.8665, 0.3665)  6 Ti 2.35-2.41
Fe (0.0000, 0.6335, 0.8665)  6 Ti 2.35-2.41
Fe (0.0000, 0.3665, 0.1335)  6 Ti 2.35-2.41
Ni (0.0000, 0.0000, 0.0000)  8 Ti 2.58
Ni (0.0000, 0.5000, 0.5000)  8 Ti 2.58



3.
First-principles (GGA-PBE) data for a relaxed structure of TaPSe2, as listed in Alexandria via LeMat-Bulk.

Properties
- E_form (uncorrected): 0.44 eV per atom
- SG: No. 65

a b c (Å): 5.1663 5.1663 3.3163
angles (deg): 90.00 90.00 122.20
Last column: nearest neighbours and their distance in Å.
Positions (direct):
Ta (0.0000, 0.0000, 0.5000)  2 P 2.50
P (0.5000, 0.5000, 0.5000)  2 Ta 2.50
Se (0.5000, 0.0000, 0.0000)  2 Se 2.50
Se (0.0000, 0.5000, 0.0000)  2 Se 2.50



4.
First-principles (GGA-PBE) data for a relaxed structure of Y2TlCu3, as listed in Alexandria via LeMat-Bulk.

Properties
- Energy relative to the elements: -0.2025 eV/atom
- SG: No. 69

a b c (Å): 5.7173 5.7173 8.5666
angles (deg): 105.02 105.02 102.91
Last column: nearest neighbours and their distance in Å.
Positions (direct):
Y (0.2500, 0.7500, 0.5000)  4 Tl 3.15, 8 Cu 3.18-3.20
Y (0.7621, 0.7621, 0.0000)  10 Cu 3.00-3.23, 2 Tl 3.17
Y (0.7500, 0.2500, 0.5000)  4 Tl 3.15, 8 Cu 3.18-3.20
Y (0.2379, 0.2379, 0.0000)  10 Cu 3.00-3.23, 2 Tl 3.17
Tl (0.6646, 0.6646, 0.3292)  3 Cu 2.68-2.71
Tl (0.3354, 0.3354, 0.6708)  3 Cu 2.68-2.71
Cu (0.3196, 0.8399, 0.1595)  2 Cu 2.49, 1 Tl 2.68
Cu (0.1601, 0.6804, 0.8405)  2 Cu 2.49, 1 Tl 2.68
Cu (0.6804, 0.1601, 0.8405)  2 Cu 2.49, 1 Tl 2.68
Cu (0.8399, 0.3196, 0.1595)  2 Cu 2.49, 1 Tl 2.68
Cu (0.1613, 0.1613, 0.3226)  2 Cu 2.49, 1 Tl 2.71
Cu (0.8387, 0.8387, 0.6774)  2 Cu 2.49, 1 Tl 2.71